# 1
LaTbNd2Mg after structural relaxation, computed with PBE.

Unit cell a=5.7314 b=6.2987 c=9.6095 alpha=70.33 beta=90.00 gamma=90.00
Closest atoms and distances in Å follow each position.
Fractional positions:
La  0.7500  0.3566  0.6098  1 Tb 3.50, 6 Nd 3.52-3.80, 3 Mg 3.55-3.80, 2 La 3.66
La  0.2500  0.6434  0.3902  1 Tb 3.50, 6 Nd 3.52-3.80, 3 Mg 3.55-3.80, 2 La 3.66
Tb  0.2500  0.8383  0.0033  4 Mg 3.48-3.70, 1 La 3.50, 2 Tb 3.50, 5 Nd 3.52-3.70
Tb  0.7500  0.1617  0.9967  4 Mg 3.48-3.70, 1 La 3.50, 2 Tb 3.50, 5 Nd 3.52-3.70
Nd  0.7500  0.7459  0.8011  3 Mg 3.51-3.52, 3 Nd 3.52-3.72, 4 Tb 3.52-3.70, 2 La 3.52-3.66
Nd  0.2500  0.2541  0.1989  3 Mg 3.51-3.52, 3 Nd 3.52-3.72, 4 Tb 3.52-3.70, 2 La 3.52-3.66
Nd  0.2500  0.0168  0.6093  5 Nd 3.52-3.72, 1 Tb 3.57, 4 La 3.58-3.80, 2 Mg 3.61-3.67
Nd  0.7500  0.9832  0.3907  5 Nd 3.52-3.72, 1 Tb 3.57, 4 La 3.58-3.80, 2 Mg 3.61-3.67
Mg  0.7500  0.5807  0.1894  4 Tb 3.48-3.70, 5 Nd 3.51-3.67, 3 La 3.55-3.80
Mg  0.2500  0.4193  0.8106  4 Tb 3.48-3.70, 5 Nd 3.51-3.67, 3 La 3.55-3.80

## Properties
ΔH_f (0 K)	0.0151	eV per atom
final energy	-4.12	eV per atom

***

# 2
AcTbSb2 after structural relaxation, computed with PBE.

Unit cell a=5.5973 b=5.5973 c=5.5973 alpha=60.00 beta=60.00 gamma=60.00
Closest atoms and distances in Å follow each position.
Fractional positions:
Sb  0.2500  0.2500  0.2500  4 Ac 3.43, 4 Tb 3.43
Sb  0.7500  0.7500  0.7500  4 Ac 3.43, 4 Tb 3.43
Ac  0.0000  0.0000  0.0000  8 Sb 3.43
Tb  0.5000  0.5000  0.5000  8 Sb 3.43

## Properties
polymorph energy (0 for the lowest one)	304	meV/atom
uncorrected formation energy	-3.4	eV per formula unit
final energy	-5.10	eV per atom

***

# 3
LaTh2CrC4 after structural relaxation, computed with PBE.

Unit cell a=3.6489 b=6.4307 c=12.5552 alpha=90.00 beta=90.00 gamma=106.48
Closest atoms and distances in Å follow each position.
Fractional positions:
La  0.1016  0.2032  0.7500  6 C 2.84-3.14
La  0.8984  0.7968  0.2500  6 C 2.84-3.14
Th  0.3675  0.7349  0.5450  6 C 2.51-2.71
Th  0.6325  0.2651  0.0450  6 C 2.51-2.71
Th  0.6325  0.2651  0.4550  6 C 2.51-2.71
Th  0.3675  0.7349  0.9550  6 C 2.51-2.71
Cr  0.8249  0.6498  0.7500  4 C 1.81-2.02
Cr  0.1751  0.3502  0.2500  4 C 1.81-2.02
C  0.2653  0.5305  0.1362  1 Cr 1.81
C  0.7347  0.4695  0.6362  1 Cr 1.81
C  0.7347  0.4695  0.8638  1 Cr 1.81
C  0.2653  0.5305  0.3638  1 Cr 1.81
C  0.0000  0.0000  0.5000  4 Th 2.51
C  0.0000  0.0000  0.0000  4 Th 2.51
C  0.3946  0.7891  0.7500  2 Cr 2.02
C  0.6054  0.2109  0.2500  2 Cr 2.02

## Properties
ΔH_f (0 K)	-0.0881	eV per atom
final energy	-8.37	eV per atom

***

# 4
TbHo12In3 after structural relaxation, computed with PBE.

Unit cell a=4.8412 b=4.8412 c=19.6946 alpha=90.00 beta=90.00 gamma=90.00
Closest atoms and distances in Å follow each position.
Fractional positions:
Tb  0.0000  0.0000  0.0000  12 Ho 3.42-3.53
Ho  0.5000  0.5000  0.0000  4 Tb 3.42, 8 Ho 3.53
Ho  0.5000  0.5000  0.2550  8 Ho 3.41-3.44, 4 In 3.42
Ho  0.5000  0.5000  0.5000  8 Ho 3.42, 4 In 3.42
Ho  0.5000  0.5000  0.7450  8 Ho 3.41-3.44, 4 In 3.42
Ho  0.5000  0.0000  0.1306  8 Ho 3.42-3.53, 2 In 3.46, 2 Tb 3.53
Ho  0.5000  0.0000  0.3771  4 In 3.40-3.42, 8 Ho 3.41-3.42
Ho  0.5000  0.0000  0.6229  4 In 3.40-3.42, 8 Ho 3.41-3.42
Ho  0.5000  0.0000  0.8694  8 Ho 3.42-3.53, 2 In 3.46, 2 Tb 3.53
Ho  0.0000  0.5000  0.1306  8 Ho 3.42-3.53, 2 In 3.46, 2 Tb 3.53
Ho  0.0000  0.5000  0.3771  4 In 3.40-3.42, 8 Ho 3.41-3.42
Ho  0.0000  0.5000  0.6229  4 In 3.40-3.42, 8 Ho 3.41-3.42
Ho  0.0000  0.5000  0.8694  8 Ho 3.42-3.53, 2 In 3.46, 2 Tb 3.53
In  0.0000  0.0000  0.2562  12 Ho 3.40-3.46
In  0.0000  0.0000  0.5000  12 Ho 3.42
In  0.0000  0.0000  0.7438  12 Ho 3.40-3.46

## Properties
ΔH_f (0 K)	-0.1893	eV per atom
final energy	-4.43	eV per atom

***

# 5
ZrAg2Se after structural relaxation, computed with PBE.

Unit cell a=2.9326 b=2.9326 c=9.4936 alpha=90.00 beta=90.00 gamma=99.32
Closest atoms and distances in Å follow each position.
Fractional positions:
Ag  0.0000  0.0000  0.9934  4 Ag 2.93, 4 Zr 2.99-3.21, 2 Se 3.09
Ag  0.0000  0.0000  0.5066  4 Ag 2.93, 4 Zr 2.99-3.21, 2 Se 3.09
Se  0.5000  0.5000  0.2500  4 Se 2.93, 4 Ag 3.09
Zr  0.5000  0.5000  0.7500  4 Zr 2.93, 8 Ag 2.99-3.21

## Properties
uncorrected formation energy	0.1	eV per formula unit
final energy	-4.40	eV per atom

***

# 6
SrY2NbN4 after structural relaxation, computed with PBE.

Unit cell a=3.4728 b=6.3472 c=12.2110 alpha=90.00 beta=90.00 gamma=105.88
Closest atoms and distances in Å follow each position.
Fractional positions:
Sr  0.0991  0.1981  0.7500  6 N 2.74-2.94
Sr  0.9009  0.8019  0.2500  6 N 2.74-2.94
Y  0.3713  0.7427  0.5344  5 N 2.33-2.56
Y  0.6287  0.2573  0.0344  5 N 2.33-2.56
Y  0.6287  0.2573  0.4656  5 N 2.33-2.56
Y  0.3713  0.7427  0.9656  5 N 2.33-2.56
Nb  0.8338  0.6677  0.7500  4 N 1.95-2.07
Nb  0.1662  0.3323  0.2500  4 N 1.95-2.07
N  0.2575  0.5150  0.1190  1 Nb 1.95
N  0.7425  0.4850  0.6190  1 Nb 1.95
N  0.7425  0.4850  0.8810  1 Nb 1.95
N  0.2575  0.5150  0.3810  1 Nb 1.95
N  0.0000  0.0000  0.5000  4 Y 2.38
N  0.0000  0.0000  0.0000  4 Y 2.38
N  0.4254  0.8509  0.7500  2 Nb 2.07
N  0.5746  0.1491  0.2500  2 Nb 2.07

## Properties
uncorrected formation energy	-9.8	eV per formula unit
final energy	-8.47	eV per atom

***

# 7
CaFeW2Cl after structural relaxation, computed with PBE.

Unit cell a=4.4799 b=5.5228 c=4.4799 alpha=90.00 beta=90.00 gamma=90.00
Closest atoms and distances in Å follow each position.
Fractional positions:
Ca  0.5000  0.5000  0.5000  4 Cl 3.17
Fe  0.0000  0.0000  0.0000  4 W 2.24
W  0.0000  0.0000  0.5000  2 Fe 2.24
W  0.5000  0.0000  0.0000  2 Fe 2.24
Cl  0.0000  0.5000  0.0000  2 Fe 2.76

## Properties
uncorrected formation energy	5.8	eV per formula unit
final energy	-6.48	eV per atom

***

# 8
MnCdHN after structural relaxation, computed with PBE.

Unit cell a=3.0592 b=3.5446 c=8.6175 alpha=90.00 beta=90.00 gamma=90.00
Closest atoms and distances in Å follow each position.
Fractional positions:
Mn  0.0174  0.0000  0.2920  1 H 1.59, 2 N 1.77
Mn  0.0174  0.5000  0.7920  1 H 1.59, 2 N 1.77
Cd  0.5172  0.0000  0.5668  4 H 2.35-2.38, 2 N 2.54
Cd  0.5172  0.5000  0.0668  4 H 2.35-2.38, 2 N 2.54
H  0.0233  0.0000  0.1072  1 Mn 1.59
H  0.0233  0.5000  0.6072  1 Mn 1.59
N  0.0170  0.0000  0.8024  2 Mn 1.77
N  0.0170  0.5000  0.3024  2 Mn 1.77

## Properties
polymorph energy (0 for the lowest one)	390	meV/atom
final energy	-5.09	eV per atom

***

Which of these has the lowest final energy? SrY2NbN4

***

The lowest final energy belongs to which entry? SrY2NbN4

***

What did the seventh record say?
CaFeW2Cl after structural relaxation, computed with PBE.

Unit cell a=4.4799 b=5.5228 c=4.4799 alpha=90.00 beta=90.00 gamma=90.00
Closest atoms and distances in Å follow each position.
Fractional positions:
Ca  0.5000  0.5000  0.5000  4 Cl 3.17
Fe  0.0000  0.0000  0.0000  4 W 2.24
W  0.0000  0.0000  0.5000  2 Fe 2.24
W  0.5000  0.0000  0.0000  2 Fe 2.24
Cl  0.0000  0.5000  0.0000  2 Fe 2.76

## Properties
uncorrected formation energy	5.8	eV per formula unit
final energy	-6.48	eV per atom

***

The highest final energy belongs to which entry? LaTbNd2Mg